Entry 1:
# Sr2CaTl PBE optimized geometry
data_Sr2CaTl
_space_group_name_H-M_alt 'P 1'
_space_group_IT_number 1
_cell_length_a 4.1003
_cell_length_b 4.1003
_cell_length_c 9.9035
_cell_angle_alpha 90.00
_cell_angle_beta 90.00
_cell_angle_gamma 90.00
loop_
_space_group_symop_operation_xyz
'x,y,z'
loop_
_atom_site_label
_atom_site_fract_x
_atom_site_fract_y
_atom_site_fract_z
Sr1 0.0000 0.0000 0.0000
Sr2 0.5000 0.5000 0.3290
Ca1 0.5000 0.5000 0.7047
Tl1 0.0000 0.0000 0.5383
# Space-group type: P4mm (99)
# Size of the total moment, μB/f.u.: 0.00
# ΔH_f (0 K), eV per atom: -0.22
# E above lowest polymorph, eV/atom: 0.0163

***

Entry 2:
# K2AlCu PBE optimized geometry
data_K2AlCu
_space_group_name_H-M_alt 'P 1'
_space_group_IT_number 1
_cell_length_a 4.6954
_cell_length_b 6.0329
_cell_length_c 6.0329
_cell_angle_alpha 60.17
_cell_angle_beta 90.00
_cell_angle_gamma 90.00
loop_
_space_group_symop_operation_xyz
'x,y,z'
loop_
_atom_site_label
_atom_site_fract_x
_atom_site_fract_y
_atom_site_fract_z
K1 0.0000 0.0000 0.0000
K2 0.5000 0.3336 0.3336
Al1 0.0000 0.6666 0.6666
Cu1 0.5000 0.6671 0.6671
# Space-group type: Amm2 (38)
# Size of the total moment, μB/f.u.: 0.00
# ΔH_f (0 K), eV per atom: 0.24

***

Entry 3:
# LaNd3Sm6Er2 PBE optimized geometry
data_LaNd3Sm6Er2
_space_group_name_H-M_alt 'P 1'
_space_group_IT_number 1
_cell_length_a 6.2905
_cell_length_b 6.2905
_cell_length_c 12.0711
_cell_angle_alpha 94.99
_cell_angle_beta 94.99
_cell_angle_gamma 119.98
loop_
_space_group_symop_operation_xyz
'x,y,z'
loop_
_atom_site_label
_atom_site_fract_x
_atom_site_fract_y
_atom_site_fract_z
La1 0.0000 0.0000 0.0000
Nd1 0.1671 0.8329 0.5000
Nd2 0.5000 0.5000 0.5000
Nd3 0.8329 0.1671 0.5000
Sm1 0.0832 0.4180 0.2480
Sm2 0.2516 0.2516 0.7518
Sm3 0.4180 0.0832 0.2480
Sm4 0.5820 0.9168 0.7520
Sm5 0.7484 0.7484 0.2482
Sm6 0.9168 0.5820 0.7520
Er1 0.3333 0.6667 0.0000
Er2 0.6667 0.3333 0.0000
# Space-group type: C2/m (12)
# Size of the total moment, μB/f.u.: 0.00
# ΔH_f (0 K), eV per atom: 0.02

***

Entry 4:
# Al3CrB PBE optimized geometry
data_Al3CrB
_space_group_name_H-M_alt 'P 1'
_space_group_IT_number 1
_cell_length_a 4.1149
_cell_length_b 4.1149
_cell_length_c 4.1149
_cell_angle_alpha 90.00
_cell_angle_beta 90.00
_cell_angle_gamma 90.00
loop_
_space_group_symop_operation_xyz
'x,y,z'
loop_
_atom_site_label
_atom_site_fract_x
_atom_site_fract_y
_atom_site_fract_z
Al1 0.0000 0.0000 0.5000
Al2 0.0000 0.5000 0.0000
Al3 0.5000 0.0000 0.0000
Cr1 0.5000 0.5000 0.5000
B1 0.0000 0.0000 0.0000
# Space-group type: Pm-3m (221)
# Size of the total moment, μB/f.u.: 0.00
# ΔH_f (0 K), eV per atom: 0.68
# E above lowest polymorph, eV/atom: 0.0000

***

Entry 5:
# Ho5Tm2Th5 PBE optimized geometry
data_Ho5Tm2Th5
_space_group_name_H-M_alt 'P 1'
_space_group_IT_number 1
_cell_length_a 7.8878
_cell_length_b 7.8878
_cell_length_c 11.2432
_cell_angle_alpha 114.83
_cell_angle_beta 114.83
_cell_angle_gamma 37.09
loop_
_space_group_symop_operation_xyz
'x,y,z'
loop_
_atom_site_label
_atom_site_fract_x
_atom_site_fract_y
_atom_site_fract_z
Ho1 0.0000 0.0000 0.0000
Ho2 0.0837 0.0837 0.7480
Ho3 0.1682 0.1682 0.5041
Ho4 0.8318 0.8318 0.4959
Ho5 0.9163 0.9163 0.2520
Tm1 0.4167 0.4167 0.7490
Tm2 0.5833 0.5833 0.2510
Th1 0.2497 0.2497 0.2466
Th2 0.3315 0.3315 0.9968
Th3 0.5000 0.5000 0.5000
Th4 0.6685 0.6685 0.0032
Th5 0.7503 0.7503 0.7534
# Space-group type: C2/m (12)
# Size of the total moment, μB/f.u.: 0.00
# ΔH_f (0 K), eV per atom: 0.05

***

Entry 6:
# RbGePO2 PBE optimized geometry
data_RbGePO2
_space_group_name_H-M_alt 'P 1'
_space_group_IT_number 1
_cell_length_a 4.1553
_cell_length_b 4.1553
_cell_length_c 4.8104
_cell_angle_alpha 90.00
_cell_angle_beta 90.00
_cell_angle_gamma 90.00
loop_
_space_group_symop_operation_xyz
'x,y,z'
loop_
_atom_site_label
_atom_site_fract_x
_atom_site_fract_y
_atom_site_fract_z
Rb1 0.0000 0.0000 0.0000
Ge1 0.5000 0.5000 0.5000
P1 0.5000 0.5000 0.0000
O1 0.0000 0.5000 0.5000
O2 0.5000 0.0000 0.5000
# Space-group type: P4/mmm (123)
# Size of the total moment, μB/f.u.: 1.87
# E above lowest polymorph, eV/atom: 0.0000

***

Entry 7:
# K2IrPb2 PBE optimized geometry
data_K2IrPb2
_space_group_name_H-M_alt 'P 1'
_space_group_IT_number 1
_cell_length_a 7.2312
_cell_length_b 7.2312
_cell_length_c 6.0360
_cell_angle_alpha 90.00
_cell_angle_beta 90.00
_cell_angle_gamma 90.00
loop_
_space_group_symop_operation_xyz
'x,y,z'
loop_
_atom_site_label
_atom_site_fract_x
_atom_site_fract_y
_atom_site_fract_z
K1 0.1790 0.3210 0.0000
K2 0.3210 0.8210 0.0000
K3 0.6790 0.1790 0.0000
K4 0.8210 0.6790 0.0000
Ir1 0.0000 0.0000 0.5000
Ir2 0.5000 0.5000 0.5000
Pb1 0.1564 0.6564 0.5000
Pb2 0.3436 0.1564 0.5000
Pb3 0.6564 0.8436 0.5000
Pb4 0.8436 0.3436 0.5000
# Space-group type: P4/mbm (127)
# Size of the total moment, μB/f.u.: 0.00
# ΔH_f (0 K), eV per atom: 0.13
# E above lowest polymorph, eV/atom: 0.0000

***

Entry 8:
# NdPuNi2P2 PBE optimized geometry
data_NdPuNi2P2
_space_group_name_H-M_alt 'P 1'
_space_group_IT_number 1
_cell_length_a 3.9347
_cell_length_b 3.9347
_cell_length_c 7.9616
_cell_angle_alpha 90.00
_cell_angle_beta 90.00
_cell_angle_gamma 120.00
loop_
_space_group_symop_operation_xyz
'x,y,z'
loop_
_atom_site_label
_atom_site_fract_x
_atom_site_fract_y
_atom_site_fract_z
Nd1 0.0000 0.0000 0.0000
Pu1 0.0000 0.0000 0.5000
Ni1 0.3333 0.6667 0.7395
Ni2 0.6667 0.3333 0.2605
P1 0.3333 0.6667 0.2555
P2 0.6667 0.3333 0.7445
# Space-group type: P-3m1 (164)
# Size of the total moment, μB/f.u.: 5.16
# ΔH_f (0 K), eV per atom: -1.03

***

Entry 9:
# ScFe2Ni PBE optimized geometry
data_ScFe2Ni
_space_group_name_H-M_alt 'P 1'
_space_group_IT_number 1
_cell_length_a 8.7484
_cell_length_b 8.7484
_cell_length_c 8.7484
_cell_angle_alpha 17.83
_cell_angle_beta 17.83
_cell_angle_gamma 17.83
loop_
_space_group_symop_operation_xyz
'x,y,z'
loop_
_atom_site_label
_atom_site_fract_x
_atom_site_fract_y
_atom_site_fract_z
Sc1 0.0000 0.0000 0.0000
Fe1 0.2429 0.2429 0.2429
Fe2 0.7571 0.7571 0.7571
Ni1 0.5000 0.5000 0.5000
# Space-group type: R-3m (166)
# Size of the total moment, μB/f.u.: 5.30
# ΔH_f (0 K), eV per atom: 0.28

***

Entry 10:
# LiTeW4 PBE optimized geometry
data_LiTeW4
_space_group_name_H-M_alt 'P 1'
_space_group_IT_number 1
_cell_length_a 5.3825
_cell_length_b 5.3825
_cell_length_c 5.3825
_cell_angle_alpha 60.00
_cell_angle_beta 60.00
_cell_angle_gamma 60.00
loop_
_space_group_symop_operation_xyz
'x,y,z'
loop_
_atom_site_label
_atom_site_fract_x
_atom_site_fract_y
_atom_site_fract_z
Li1 0.0000 0.0000 0.0000
Te1 0.7500 0.7500 0.7500
W1 0.3725 0.3725 0.3725
W2 0.3725 0.3725 0.8826
W3 0.3725 0.8826 0.3725
W4 0.8826 0.3725 0.3725
# Total energy, eV/cell: -52.10
# Space-group type: F-43m (216)
# Size of the total moment, μB/f.u.: 0.00

***

Entry 11:
# YBe2Ru PBE optimized geometry
data_YBe2Ru
_space_group_name_H-M_alt 'P 1'
_space_group_IT_number 1
_cell_length_a 5.4345
_cell_length_b 5.4345
_cell_length_c 5.4345
_cell_angle_alpha 41.39
_cell_angle_beta 41.39
_cell_angle_gamma 41.39
loop_
_space_group_symop_operation_xyz
'x,y,z'
loop_
_atom_site_label
_atom_site_fract_x
_atom_site_fract_y
_atom_site_fract_z
Y1 0.0000 0.0000 0.0000
Be1 0.1892 0.1892 0.1892
Be2 0.5064 0.5064 0.5064
Ru1 0.8016 0.8016 0.8016
# Space-group type: R3m (160)
# Size of the total moment, μB/f.u.: 0.00
# ΔH_f (0 K), eV per atom: -0.24
# E above lowest polymorph, eV/atom: 0.0121

***

Entry 12:
# Mg3AlP PBE optimized geometry
data_Mg3AlP
_space_group_name_H-M_alt 'P 1'
_space_group_IT_number 1
_cell_length_a 5.0615
_cell_length_b 5.0615
_cell_length_c 5.0615
_cell_angle_alpha 90.00
_cell_angle_beta 90.00
_cell_angle_gamma 90.00
loop_
_space_group_symop_operation_xyz
'x,y,z'
loop_
_atom_site_label
_atom_site_fract_x
_atom_site_fract_y
_atom_site_fract_z
Mg1 0.0000 0.0000 0.5000
Mg2 0.0000 0.5000 0.0000
Mg3 0.5000 0.0000 0.0000
Al1 0.0000 0.0000 0.0000
P1 0.5000 0.5000 0.5000
# Space-group type: Pm-3m (221)
# Size of the total moment, μB/f.u.: 0.00
# ΔH_f (0 K), eV per atom: 0.61
# E above lowest polymorph, eV/atom: 0.5538